Record 1
A plane-wave DFT calculation with PBE was carried out for CeTi2As2 after structural relaxation.

Lattice parameters (Å, degrees): 8.565 9.972 10.411 90.00 90.00 90.00
Space group Fddd (No. 70, origin choice 2)
Inequivalent atoms, fractional coordinates:
Ce  0.125  0.125  0.125 [8 per cell]
Ti  0.125  0.257  0.625 [16 per cell]
As  0.125  0.125  0.408 [16 per cell]

## Properties
N(E_F)	1.9197	states/eV/atom
E_form	-0.77	eV/atom
electronic total energy	-6.9756	eV/atom

=====

Record 2
A plane-wave DFT calculation with PBE was carried out for SiSb2 after structural relaxation.

Lattice parameters (Å, degrees): 4.1052 4.1052 5.0977 90.00 90.00 120.00
Space group P-3m1 (No. 164)
Inequivalent atoms, fractional coordinates:
Si  0.0000  0.0000  0.0000 [1 per cell]
Sb  0.3333  0.6667  0.6999 [2 per cell]

## Properties
N(E_F)	0.5134	states/eV/atom
uncorrected formation energy	209.0	meV/atom
electronic total energy	-4.3469	eV/atom

=====

Record 3
A plane-wave DFT calculation with PBE was carried out for La2Ni3AgSb4 after structural relaxation.

Lattice parameters (Å, degrees): 4.589 4.589 10.286 90.00 90.00 90.00
Space group P-4m2 (No. 115)
Inequivalent atoms, fractional coordinates:
La  0.000  0.500  0.250 [2 per cell]
Ni  0.000  0.000  0.000 [1 per cell]
Ni  0.000  0.500  0.614 [2 per cell]
Ag  0.500  0.500  0.000 [1 per cell]
Sb  0.000  0.000  0.500 [1 per cell]
Sb  0.000  0.500  0.859 [2 per cell]
Sb  0.500  0.500  0.500 [1 per cell]

## Properties
N(E_F)	0.3615	states/eV/atom
uncorrected formation energy	-637.8	meV/atom
electronic total energy	-5.2917	eV/atom

=====

Record 4
A plane-wave DFT calculation with PBE was carried out for Rb2BeNi2 after structural relaxation.

Lattice parameters (Å, degrees): 6.129 6.129 5.587 90.00 90.00 90.00
Space group P4/mbm (No. 127)
Inequivalent atoms, fractional coordinates:
Rb  0.185  0.315  0.000 [4 per cell]
Be  0.000  0.000  0.500 [2 per cell]
Ni  0.142  0.642  0.500 [4 per cell]

## Properties
N(E_F)	0.5122	states/eV/atom
E_form	0.72	eV/atom
electronic total energy	-2.7233	eV/atom

=====

Record 5
A plane-wave DFT calculation with PBE was carried out for TbNd2YTm2 after structural relaxation.

Lattice parameters (Å, degrees): 6.574 7.044 8.799 90.00 103.58 90.00
Space group P2_1/m (No. 11)
Inequivalent atoms, fractional coordinates:
Tb  0.119  0.250  0.351 [2 per cell]
Nd  0.129  0.750  0.348 [2 per cell]
Nd  0.262  0.250  0.988 [2 per cell]
Y  0.248  0.750  0.989 [2 per cell]
Tm  0.406  0.501  0.684 [4 per cell]

## Properties
N(E_F)	1.6562	states/eV/atom
E_form	0.12	eV/atom
electronic total energy	-4.8078	eV/atom

=====

Record 6
A plane-wave DFT calculation with PBE was carried out for Na3ReI2Cl6 after structural relaxation.

Lattice parameters (Å, degrees): 14.674 7.983 6.383 90.00 90.65 90.00
Space group C2/m (No. 12)
Inequivalent atoms, fractional coordinates:
Na  0.000  0.000  0.000 [2 per cell]
Na  0.250  0.250  0.500 [4 per cell]
Re  0.000  0.500  0.500 [2 per cell]
I  0.189  0.000  0.828 [4 per cell]
Cl  0.066  0.292  0.291 [8 per cell]
Cl  0.132  0.500  0.713 [4 per cell]

## Properties
N(E_F)	0.6517	states/eV/atom
uncorrected formation energy	-981.6	meV/atom
electronic total energy	-3.5303	eV/atom

=====

Record 7
A plane-wave DFT calculation with PBE was carried out for Ti2NbFe9 after structural relaxation.

Lattice parameters (Å, degrees): 4.7378 4.7378 23.4398 90.00 90.00 120.00
Space group R-3m (No. 166, hexagonal axes)
Inequivalent atoms, fractional coordinates:
Ti  0.0000  0.0000  0.1423 [6 per cell]
Nb  0.0000  0.0000  0.0000 [3 per cell]
Fe  0.0000  0.0000  0.3335 [6 per cell]
Fe  0.0000  0.0000  0.5000 [3 per cell]
Fe  0.0045  0.5022  0.9144 [18 per cell]

## Properties
N(E_F)	1.2286	states/eV/atom
E_form	-0.13	eV/atom
electronic total energy	-8.6312	eV/atom

=====

Record 8
A plane-wave DFT calculation with PBE was carried out for BaScP2Au after structural relaxation.

Lattice parameters (Å, degrees): 7.345 5.243 7.106 90.00 104.77 90.00
Space group P2/c (No. 13)
Inequivalent atoms, fractional coordinates:
Ba  0.000  0.205  0.250 [2 per cell]
Sc  0.500  0.482  0.750 [2 per cell]
P  0.260  0.317  0.947 [4 per cell]
Au  0.500  0.000  0.000 [2 per cell]

## Properties
E_form	-0.97	eV/atom
electronic total energy	-5.4422	eV/atom

=====

Record 9
A plane-wave DFT calculation with PBE was carried out for ZrSiAs2 after structural relaxation.

Lattice parameters (Å, degrees): 6.035 6.035 11.192 90.00 90.00 90.00
Space group I-42d (No. 122)
Inequivalent atoms, fractional coordinates:
Zr  0.000  0.000  0.000 [4 per cell]
Si  0.000  0.000  0.500 [4 per cell]
As  0.222  0.250  0.625 [8 per cell]

## Properties
N(E_F)	0.8944	states/eV/atom
uncorrected formation energy	-67.8	meV/atom
electronic total energy	-5.8854	eV/atom

=====

Repeat the ninth record exactly.
A plane-wave DFT calculation with PBE was carried out for ZrSiAs2 after structural relaxation.

Lattice parameters (Å, degrees): 6.035 6.035 11.192 90.00 90.00 90.00
Space group I-42d (No. 122)
Inequivalent atoms, fractional coordinates:
Zr  0.000  0.000  0.000 [4 per cell]
Si  0.000  0.000  0.500 [4 per cell]
As  0.222  0.250  0.625 [8 per cell]

## Properties
N(E_F)	0.8944	states/eV/atom
uncorrected formation energy	-67.8	meV/atom
electronic total energy	-5.8854	eV/atom

=====

Which of these has the highest electronic total energy?
Rb2BeNi2

=====

What is the electronic total energy in the sixth record?
-3.5303 eV/atom

=====

Among the records above, which one has the highest electronic total energy?
Rb2BeNi2